A plane-wave DFT calculation with PBE-GGA was carried out for a relaxed structure of CaCdAgGe.

Calculated values
The calculation puts the formation energy at -234 meV per atom. The value obtained for the total energy is -11.32 eV/cell. The value obtained for the density of states at the Fermi level is 0.488 states/eV per atom.

Cell lengths 4.977, 4.977, 4.977 Å; angles 60.00, 60.00, 60.00 degrees
Element x y z (fractional)
Ge 0.250 0.250 0.250
Ca 0.500 0.500 0.500
Ag 0.750 0.750 0.750
Cd 0.000 0.000 0.000